(1)
# PBE-GGA CsHf2TaNi, relaxed
# energy of formation	6.45	eV/f.u.
# V	138.31	Å³/f.u.
# magnetic moment	0.000	μB/atom
# density	8.76	g/cm³
data_CsHf2TaNi
_chemical_formula_sum 'Cs1 Hf2 Ta1 Ni1'
_cell_length_a 5.2539
_cell_length_b 5.2539
_cell_length_c 5.0105
_cell_angle_alpha 90.00
_cell_angle_beta 90.00
_cell_angle_gamma 90.00
_symmetry_space_group_name_H-M 'P 4/m m m'
_symmetry_Int_Tables_number 123
_symmetry_space_group_name_Hall '-P 4 2'
loop_
_atom_site_label
_atom_site_fract_x
_atom_site_fract_y
_atom_site_fract_z
Cs1 0.0000 0.0000 0.0000
Hf1 0.0000 0.5000 0.5000
Ta1 0.5000 0.5000 0.5000
Ni1 0.5000 0.5000 0.0000


(2)
# PBE-GGA CsHf2NpO8, relaxed
# V	221.73	Å³/f.u.
# magnetic moment	0.000	μB/atom
# E_form (uncorrected)	-2791	meV per atom
# density	6.40	g/cm³
data_CsHf2NpO8
_chemical_formula_sum 'Cs2 Hf4 Np2 O16'
_cell_length_a 9.0848
_cell_length_b 6.5092
_cell_length_c 7.8775
_cell_angle_alpha 90.00
_cell_angle_beta 107.83
_cell_angle_gamma 90.00
_symmetry_space_group_name_H-M 'C 1 2/m 1'
_symmetry_Int_Tables_number 12
loop_
_symmetry_equiv_pos_as_xyz
'x,y,z'
'-x,-y,-z'
'-x,y,-z'
'x,-y,z'
'x+1/2,y+1/2,z'
'-x+1/2,-y+1/2,-z'
'-x+1/2,y+1/2,-z'
'x+1/2,-y+1/2,z'
loop_
_atom_site_label
_atom_site_fract_x
_atom_site_fract_y
_atom_site_fract_z
Cs1 0.0000 0.0000 0.0000
Hf1 0.0476 0.5000 0.2099
Np1 0.0000 0.0000 0.5000
O1 0.0143 0.2333 0.3200
O2 0.1412 0.5000 0.0097
O3 0.2185 0.0000 0.6024


| no. | total DFT energy (no corrections) (eV/atom) |
| --- | --- |
| 1 | -6.39 |
| 2 | -8.90 |